Record 1
The following is a DFT calculation (PBE) of a relaxed PrGeAu2 crystal.

a = 5.008 Å, b = 5.008 Å, c = 5.008 Å
α = 60.00°, β = 60.00°, γ = 60.00°
Fractional coordinates of all 4 atoms:
Pr: 0.000 0.000 0.000
Ge: 0.500 0.500 0.500
Au: 0.250 0.250 0.250
Au: 0.750 0.750 0.750

## Properties
The space group is Fm-3m. For the formation energy, the calculation gives -0.5240 eV per atom.

---

Record 2
The following is a DFT calculation (PBE) of a relaxed KAl crystal.

a = 7.950 Å, b = 7.950 Å, c = 4.488 Å
α = 90.00°, β = 90.00°, γ = 126.19°
Fractional coordinates of all 6 atoms:
K: 0.000 0.000 0.000
K: 0.000 0.500 0.500
K: 0.500 0.000 0.500
Al: 0.401 0.599 0.000
Al: 0.500 0.500 0.500
Al: 0.599 0.401 0.000

## Properties
The space group is Cmmm. For the formation energy, the calculation gives 0.1792 eV per atom.

---

Record 3
The following is a DFT calculation (PBE) of a relaxed Tm2Zr3Ir2 crystal.

a = 6.038 Å, b = 6.038 Å, c = 8.328 Å
α = 113.25°, β = 113.25°, γ = 34.99°
Fractional coordinates of all 7 atoms:
Tm: 0.150 0.150 0.304
Tm: 0.850 0.850 0.696
Zr: 0.380 0.380 0.057
Zr: 0.500 0.500 0.500
Zr: 0.620 0.620 0.943
Ir: 0.162 0.162 0.734
Ir: 0.838 0.838 0.266

## Properties
The space group is C2/m. For the formation energy, the calculation gives -0.5808 eV per atom.

---

no.,spin magnetization (μB/f.u.),uncorrected energy (eV/atom),N(E_F) (states/eV/atom)
1,0.000,-4.512,0.627
2,0.000,-2.241,0.325
3,0.000,-8.054,1.051